Record 1
This record from Alexandria via LeMat-Bulk describes an optimized crystal structure of La2Nd5YMg. The functional is PBE.

Summary:
Energy relative to the elements   0.0777 eV per atom
DOS at the Fermi energy   1.4267 states/eV per atom

Unit cell a=5.635 b=20.241 c=10.935 alpha=90.00 beta=90.00 gamma=90.00
Space group Cmcm (No. 63)
Asymmetric unit:
La1 0.000 0.116 0.042 x8
Nd1 0.000 0.015 0.750 x4
Nd2 0.000 0.288 0.052 x8
Nd3 0.000 0.381 0.750 x4
Nd4 0.000 0.500 0.000 x4
Y1 0.000 0.202 0.750 x4
Mg1 0.000 0.405 0.250 x4



Record 2
This record from Alexandria via LeMat-Bulk describes an optimized crystal structure of AgSeN3. The functional is PBE.

Summary:
Uncorrected formation energy   2.74 eV per atom
DOS at the Fermi energy   0.9660 states/eV per atom

Unit cell a=4.031 b=4.031 c=4.031 alpha=90.00 beta=90.00 gamma=90.00
Space group Pm-3m (No. 221)
Asymmetric unit:
Ag1 0.000 0.000 0.000 x1
Se1 0.500 0.500 0.500 x1
N1 0.000 0.000 0.500 x3



Record 3
This record from Alexandria via LeMat-Bulk describes an optimized crystal structure of Na5Sr2Ca. The functional is PBE.

Summary:
Energy relative to the elements   0.0517 eV per atom
DOS at the Fermi energy   0.7254 states/eV per atom

Unit cell a=6.231 b=6.231 c=17.277 alpha=90.00 beta=90.00 gamma=90.00
Space group I4/mmm (No. 139)
Asymmetric unit:
Na1 0.000 0.000 0.000 x2
Na2 0.000 0.500 0.114 x8
Sr1 0.000 0.000 0.250 x4
Ca1 0.000 0.000 0.500 x2



Record 4
This record from Alexandria via LeMat-Bulk describes an optimized crystal structure of SrEuAl2. The functional is PBE.

Summary:
Energy relative to the elements   -0.1407 eV per atom
DOS at the Fermi energy   1.3927 states/eV per atom

Unit cell a=7.736 b=7.736 c=7.736 alpha=90.00 beta=90.00 gamma=90.00
Space group Fm-3m (No. 225)
Asymmetric unit:
Sr1 0.000 0.000 0.000 x4
Eu1 0.000 0.000 0.500 x4
Al1 0.250 0.250 0.250 x8



Record 5
This record from Alexandria via LeMat-Bulk describes an optimized crystal structure of Pm2DyHoSc. The functional is PBE.

Summary:
Energy relative to the elements   0.3705 eV per atom
DOS at the Fermi energy   1.4627 states/eV per atom

Unit cell a=8.197 b=11.334 c=7.147 alpha=90.00 beta=90.00 gamma=90.00
Space group Cmcm (No. 63)
Asymmetric unit:
Pm1 0.199 0.000 0.000 x8
Dy1 0.000 0.232 0.250 x4
Ho1 0.000 0.235 0.750 x4
Sc1 0.000 0.497 0.250 x4



Record 6
This record from Alexandria via LeMat-Bulk describes an optimized crystal structure of Ce8NiIr2. The functional is PBE.

Summary:
Energy relative to the elements   -0.2752 eV per atom
DOS at the Fermi energy   2.4115 states/eV per atom

Unit cell a=7.720 b=14.025 c=5.717 alpha=90.00 beta=123.23 gamma=90.00
Space group Cm (No. 8)
Asymmetric unit:
Ce1 0.000 0.000 0.000 x2
Ce2 0.036 0.126 0.467 x4
Ce3 0.215 0.500 0.332 x2
Ce4 0.320 0.212 0.133 x4
Ce5 0.491 0.101 0.668 x4
Ni1 0.333 0.000 0.014 x2
Ir1 0.340 0.299 0.710 x4



Record 7
This record from Alexandria via LeMat-Bulk describes an optimized crystal structure of Ho3MgSc3S8. The functional is PBE.

Summary:
Uncorrected formation energy   -1.91 eV per atom
DOS at the Fermi energy   0.2310 states/eV per atom

Unit cell a=7.5293 b=7.5293 c=18.6081 alpha=90.00 beta=90.00 gamma=120.00
Space group R-3m (No. 166, hexagonal axes)
Asymmetric unit:
Ho1 0.0000 0.5000 0.0000 x9
Mg1 0.0000 0.0000 0.5000 x3
Sc1 0.0000 0.5000 0.5000 x9
S1 0.0000 0.0000 0.2455 x6
S2 0.0008 0.5004 0.2454 x18



Record 8
This record from Alexandria via LeMat-Bulk describes an optimized crystal structure of BaSrCu2As2. The functional is PBE.

Summary:
Energy relative to the elements   -0.7820 eV per atom
DOS at the Fermi energy   0.1221 states/eV per atom

Unit cell a=4.3224 b=4.3224 c=8.9810 alpha=90.00 beta=90.00 gamma=120.00
Space group P-3m1 (No. 164)
Asymmetric unit:
Ba1 0.0000 0.0000 0.0000 x1
Sr1 0.0000 0.0000 0.5000 x1
Cu1 0.3333 0.6667 0.7369 x2
As1 0.3333 0.6667 0.2619 x2



Record 9
This record from Alexandria via LeMat-Bulk describes an optimized crystal structure of PaZn11Rh. The functional is PBE.

Summary:
Energy relative to the elements   -0.1567 eV per atom
DOS at the Fermi energy   0.6385 states/eV per atom

Unit cell a=5.137 b=12.762 c=6.728 alpha=90.00 beta=111.56 gamma=90.00
Space group C2/m (No. 12)
Asymmetric unit:
Pa1 0.000 0.000 0.000 x2
Zn1 0.000 0.500 0.500 x2
Zn2 0.106 0.392 0.215 x8
Zn3 0.161 0.175 0.355 x8
Zn4 0.250 0.250 0.000 x4
Rh1 0.000 0.000 0.500 x2



Record 10
This record from Alexandria via LeMat-Bulk describes an optimized crystal structure of HfSc2Cr2C4. The functional is PBE.

Summary:
Energy relative to the elements   -0.2842 eV per atom
DOS at the Fermi energy   0.6414 states/eV per atom

Unit cell a=12.479 b=3.179 c=5.445 alpha=90.00 beta=110.18 gamma=90.00
Space group C2/m (No. 12)
Asymmetric unit:
Hf1 0.000 0.000 0.000 x2
Sc1 0.143 0.000 0.542 x4
Cr1 0.172 0.500 0.981 x4
C1 0.018 0.500 0.647 x4
C2 0.217 0.000 0.214 x4



Record 11
This record from Alexandria via LeMat-Bulk describes an optimized crystal structure of Nd4Ho2TmTh. The functional is PBE.

Summary:
Energy relative to the elements   0.1380 eV per atom
DOS at the Fermi energy   1.9128 states/eV per atom

Unit cell a=6.015 b=6.015 c=7.344 alpha=90.00 beta=90.00 gamma=90.00
Space group P4/mmm (No. 123)
Asymmetric unit:
Nd1 0.000 0.500 0.248 x4
Ho1 0.000 0.000 0.500 x1
Ho2 0.500 0.500 0.500 x1
Tm1 0.000 0.000 0.000 x1
Th1 0.500 0.500 0.000 x1



Record 12
This record from Alexandria via LeMat-Bulk describes an optimized crystal structure of TlCuPbF6. The functional is PBE.

Summary:
Uncorrected formation energy   -1.83 eV per atom
DOS at the Fermi energy   0.6803 states/eV per atom

Unit cell a=5.8167 b=5.8167 c=10.3963 alpha=90.00 beta=90.00 gamma=120.00
Space group P-31c (No. 163)
Asymmetric unit:
Tl1 0.3333 0.6667 0.2500 x2
Cu1 0.3333 0.6667 0.7500 x2
Pb1 0.0000 0.0000 0.0000 x2
F1 0.0258 0.3619 0.6381 x12



| no. | uncorrected energy (eV/cell) |
| --- | --- |
| 1 | -164.22 |
| 2 | -17.61 |
| 3 | -23.09 |
| 4 | -80.02 |
| 5 | -92.64 |
| 6 | -148.00 |
| 7 | -287.96 |
| 8 | -25.79 |
| 9 | -65.80 |
| 10 | -162.63 |
| 11 | -39.01 |
| 12 | -75.79 |